Computed, not measured: a relaxed LaDyRu crystal at the GGA-PBE level of DFT.

Lattice parameters (Å, degrees): 6.942 6.634 7.680 91.91 90.00 90.00
Fractional positions:
1 La 0.428 0.233 0.889
2 La 0.572 0.767 0.111
3 La 0.928 0.267 0.611
4 La 0.072 0.733 0.389
5 Dy 0.929 0.241 0.109
6 Dy 0.571 0.741 0.609
7 Dy 0.071 0.759 0.891
8 Dy 0.429 0.259 0.391
9 Ru 0.255 0.490 0.664
10 Ru 0.745 0.510 0.336
11 Ru 0.245 0.990 0.164
12 Ru 0.755 0.010 0.836

Properties
* formation energy: -0.261 eV/atom

---

Computed, not measured: a relaxed ScTlSn crystal at the GGA-PBE level of DFT.

Lattice parameters (Å, degrees): 6.355 4.383 10.971 90.00 105.71 90.00
Fractional positions:
1 Sc 0.295 0.000 0.232
2 Sc 0.295 0.500 0.732
3 Sc 0.897 0.000 0.507
4 Sc 0.897 0.500 0.007
5 Tl 0.786 0.000 0.184
6 Tl 0.786 0.500 0.684
7 Tl 0.107 0.000 0.875
8 Tl 0.107 0.500 0.375
9 Sn 0.602 0.000 0.862
10 Sn 0.602 0.500 0.362
11 Sn 0.409 0.000 0.553
12 Sn 0.409 0.500 0.053

Properties
* formation energy: -0.254 eV/atom

---

Computed, not measured: a relaxed LiTa2PdN crystal at the GGA-PBE level of DFT.

Lattice parameters (Å, degrees): 4.214 4.214 3.897 90.00 90.00 90.00
Fractional positions:
1 N 0.000 0.000 0.000
2 Li 0.000 0.000 0.500
3 Pd 0.500 0.500 0.500
4 Ta 0.000 0.500 0.000
5 Ta 0.500 0.000 0.000

Properties
* E_form (uncorrected): -0.5055 eV/atom

---

Computed, not measured: a relaxed KNdPb2Cl8 crystal at the GGA-PBE level of DFT.

Lattice parameters (Å, degrees): 6.896 6.639 8.970 90.00 90.00 89.27
Fractional positions:
1 K 0.000 0.000 0.500
2 Nd 0.000 0.000 0.000
3 Pb 0.500 0.500 0.746
4 Pb 0.500 0.500 0.254
5 Cl 0.162 0.769 0.223
6 Cl 0.681 0.747 0.000
7 Cl 0.837 0.231 0.223
8 Cl 0.838 0.231 0.777
9 Cl 0.319 0.253 0.000
10 Cl 0.163 0.769 0.777
11 Cl 0.643 0.720 0.500
12 Cl 0.357 0.280 0.500

Properties
* E_form (uncorrected): -1.6626 eV/atom

---

Computed, not measured: a relaxed LiBe2Cd2Au5 crystal at the GGA-PBE level of DFT.

Lattice parameters (Å, degrees): 3.515 9.636 9.636 90.00 90.00 90.00
Fractional positions:
1 Li 0.000 0.000 0.000
2 Li 0.000 0.500 0.500
3 Be 0.000 0.125 0.625
4 Be 0.000 0.875 0.375
5 Be 0.000 0.625 0.875
6 Be 0.000 0.375 0.125
7 Cd 0.000 0.676 0.176
8 Cd 0.000 0.324 0.824
9 Cd 0.000 0.176 0.324
10 Cd 0.000 0.824 0.676
11 Au 0.500 0.204 0.070
12 Au 0.500 0.796 0.930
13 Au 0.500 0.070 0.796
14 Au 0.500 0.704 0.430
15 Au 0.500 0.930 0.204
16 Au 0.500 0.296 0.570
17 Au 0.500 0.570 0.704
18 Au 0.500 0.430 0.296
19 Au 0.500 0.500 0.000
20 Au 0.500 0.000 0.500

Properties
* formation energy: -0.194 eV/atom

---

Computed, not measured: a relaxed Sr3Ga2Pt3 crystal at the GGA-PBE level of DFT.

Lattice parameters (Å, degrees): 4.498 6.146 14.875 90.00 90.00 111.47
Fractional positions:
1 Sr 0.920 0.840 0.389
2 Sr 0.080 0.160 0.889
3 Sr 0.920 0.840 0.111
4 Sr 0.080 0.160 0.611
5 Sr 0.632 0.265 0.250
6 Sr 0.368 0.735 0.750
7 Ga 0.783 0.566 0.913
8 Ga 0.217 0.434 0.413
9 Ga 0.783 0.566 0.587
10 Ga 0.217 0.434 0.087
11 Pt 0.618 0.237 0.463
12 Pt 0.382 0.763 0.963
13 Pt 0.618 0.237 0.037
14 Pt 0.382 0.763 0.537
15 Pt 0.314 0.628 0.250
16 Pt 0.686 0.372 0.750

Properties
* formation energy: -0.834 eV/atom